No. 1
Computed, not measured: an optimized crystal structure of Ba2Cd2SiGe at the PBE-GGA level of DFT.

Cell: 4.6880 4.6880 9.7377 Å, 90.00 90.00 120.00°
With the nearest neighbours (Å) after each atom.
Atoms (fractional coordinates):
Ba 0.0000 0.0000 0.2484  6 Cd 3.63-3.65, 3 Si 3.63, 3 Ge 3.65
Ba 0.0000 0.0000 0.7516  6 Cd 3.63-3.65, 3 Si 3.63, 3 Ge 3.65
Cd 0.3333 0.6667 0.5000  3 Ge 2.71
Cd 0.6667 0.3333 0.0000  3 Si 2.71
Si 0.3333 0.6667 0.0000  3 Cd 2.71
Ge 0.6667 0.3333 0.5000  3 Cd 2.71

E_tot, eV/atom: -3.0244
Polymorph energy (0 for the lowest one), meV per atom: 0

No. 2
Computed, not measured: an optimized crystal structure of BeTlTcNi at the PBE-GGA level of DFT.

Cell: 6.0709 6.0709 6.0709 Å, 90.00 90.00 90.00°
With the nearest neighbours (Å) after each atom.
Atoms (fractional coordinates):
Be 0.0000 0.0000 0.0000  4 Tl 2.63, 4 Tc 2.63
Be 0.0000 0.5000 0.5000  4 Tl 2.63, 4 Tc 2.63
Be 0.5000 0.0000 0.5000  4 Tl 2.63, 4 Tc 2.63
Be 0.5000 0.5000 0.0000  4 Tl 2.63, 4 Tc 2.63
Tl 0.2500 0.2500 0.2500  4 Ni 2.63, 4 Be 2.63
Tl 0.2500 0.7500 0.7500  4 Ni 2.63, 4 Be 2.63
Tl 0.7500 0.2500 0.7500  4 Ni 2.63, 4 Be 2.63
Tl 0.7500 0.7500 0.2500  4 Ni 2.63, 4 Be 2.63
Tc 0.2500 0.2500 0.7500  4 Ni 2.63, 4 Be 2.63
Tc 0.2500 0.7500 0.2500  4 Ni 2.63, 4 Be 2.63
Tc 0.7500 0.2500 0.2500  4 Ni 2.63, 4 Be 2.63
Tc 0.7500 0.7500 0.7500  4 Ni 2.63, 4 Be 2.63
Ni 0.0000 0.0000 0.5000  4 Tc 2.63, 4 Tl 2.63
Ni 0.0000 0.5000 0.0000  4 Tc 2.63, 4 Tl 2.63
Ni 0.5000 0.0000 0.0000  4 Tc 2.63, 4 Tl 2.63
Ni 0.5000 0.5000 0.5000  4 Tl 2.63, 4 Tc 2.63

Total magnetic moment, μB per atom: 0.305
E_tot, eV/atom: -4.9971
Polymorph energy (0 for the lowest one), meV per atom: 0

No. 3
Computed, not measured: an optimized crystal structure of ZrHgB4 at the PBE-GGA level of DFT.

Cell: 3.1457 3.1457 8.1967 Å, 90.00 90.00 120.00°
With the nearest neighbours (Å) after each atom.
Atoms (fractional coordinates):
Zr 0.0000 0.0000 0.0000  12 B 2.51
Hg 0.0000 0.0000 0.5000  12 B 2.99, 6 Hg 3.15
B 0.3333 0.6667 0.2106  3 B 1.82
B 0.3333 0.6667 0.7894  3 B 1.82
B 0.6667 0.3333 0.2106  3 B 1.82
B 0.6667 0.3333 0.7894  3 B 1.82

Total magnetic moment, μB per atom: 0.002
E_tot, eV/atom: -5.8999
Polymorph energy (0 for the lowest one), meV per atom: 37